Record 1
First-principles (PBE-GGA) data for a relaxed structure of CuTeCl2, as listed in Alexandria via LeMat-Bulk.

Cell: 4.349 4.349 8.050 Å, 91.33 91.33 47.10°
Sites, in units of the cell vectors:
Cu 0.000 0.000 0.000
Te 0.314 0.314 0.827
Cl 0.437 0.437 0.562
Cl 0.630 0.630 0.151

- Polymorph energy (0 for the lowest one): 0.038 eV/f.u.
- Energy relative to the elements, uncorrected: -0.315 eV per atom
- DOS at the Fermi energy: 2.33 states/eV/f.u.

***

Record 2
First-principles (PBE-GGA) data for a relaxed structure of CuTe2Cl, as listed in Alexandria via LeMat-Bulk.

Cell: 5.588 5.588 5.588 Å, 137.68 112.11 83.35°
Sites, in units of the cell vectors:
Cu 0.000 0.000 0.000
Te 0.182 0.682 0.500
Te 0.818 0.318 0.500
Cl 0.500 0.500 0.000

- Energy relative to the elements, uncorrected: 0.043 eV per atom
- DOS at the Fermi energy: 2.70 states/eV/f.u.